# SrZrVS2

Crystalline SrZrVS2 at its relaxed geometry (PBE-GGA, Alexandria via LeMat-Bulk).

Computed properties:
- Electronic total energy: -4.955 eV per atom
- Magnetic moment: 0.48 μB/f.u.
- SG: P4/mmm, No. 123

a = 4.966 Å, b = 4.966 Å, c = 6.593 Å
α = 90.00°, β = 90.00°, γ = 90.00°
Positions (direct):
Sr (0.000, 0.000, 0.000)
Zr (0.000, 0.000, 0.500)
V (0.500, 0.500, 0.000)
S (0.000, 0.500, 0.500)
S (0.500, 0.000, 0.500)